# 1
A relaxed Nd4Er4Th crystal. Source: Alexandria via LeMat-Bulk, functional PBE.

Structure (CIF):
```
data_Nd4Er4Th
_chemical_formula_sum 'Nd8 Er8 Th2'
_space_group_name_H-M_alt 'I 4/m m m'
_space_group_IT_number 139
_space_group_name_Hall '-I 4 2'
_cell_length_a 10.766
_cell_length_b 10.766
_cell_length_c 5.110
_cell_angle_alpha 90.00
_cell_angle_beta 90.00
_cell_angle_gamma 90.00
loop_
_atom_site_label
_atom_site_fract_x
_atom_site_fract_y
_atom_site_fract_z
Nd1 0.164 0.164 0.000
Er1 0.000 0.334 0.500
Th1 0.000 0.000 0.500
```



# 2
A relaxed CaNiP2Se8 crystal. Source: Alexandria via LeMat-Bulk, functional PBE.

Structure (CIF):
```
data_CaNiP2Se8
_chemical_formula_sum 'Ca1 Ni1 P2 Se8'
_space_group_name_H-M_alt 'P -3'
_space_group_IT_number 147
_space_group_name_Hall '-P 3'
_cell_length_a 6.2819
_cell_length_b 6.2819
_cell_length_c 8.5480
_cell_angle_alpha 90.00
_cell_angle_beta 90.00
_cell_angle_gamma 120.00
loop_
_atom_site_label
_atom_site_fract_x
_atom_site_fract_y
_atom_site_fract_z
Ca1 0.0000 0.0000 0.0000
Ni1 0.0000 0.0000 0.5000
P1 0.3333 0.6667 0.7374
Se1 0.0014 0.7143 0.3113
Se2 0.3333 0.6667 0.9946
```



# 3
A relaxed Ca2LaMg2Sn2 crystal. Source: Alexandria via LeMat-Bulk, functional PBE.

Structure (CIF):
```
data_Ca2LaMg2Sn2
_chemical_formula_sum 'Ca6 La3 Mg6 Sn6'
_space_group_name_H-M_alt 'R -3 m'
_space_group_IT_number 166
_space_group_name_Hall '-R 3 2"'
_cell_length_a 5.0192
_cell_length_b 5.0192
_cell_length_c 27.4371
_cell_angle_alpha 90.00
_cell_angle_beta 90.00
_cell_angle_gamma 120.00
loop_
_atom_site_label
_atom_site_fract_x
_atom_site_fract_y
_atom_site_fract_z
Ca1 0.0000 0.0000 0.1351
La1 0.0000 0.0000 0.0000
Mg1 0.0000 0.0000 0.4138
Sn1 0.0000 0.0000 0.2615
```



# 4
A relaxed BaBrF crystal. Source: Alexandria via LeMat-Bulk, functional PBE.

Structure (CIF):
```
data_BaBrF
_chemical_formula_sum 'Ba4 Br4 F4'
_space_group_name_H-M_alt 'F -4 3 m'
_space_group_IT_number 216
_space_group_name_Hall 'F -4 2 3'
_cell_length_a 7.226
_cell_length_b 7.226
_cell_length_c 7.226
_cell_angle_alpha 90.00
_cell_angle_beta 90.00
_cell_angle_gamma 90.00
loop_
_atom_site_label
_atom_site_fract_x
_atom_site_fract_y
_atom_site_fract_z
Ba1 0.000 0.000 0.000
Br1 0.250 0.250 0.750
F1 0.250 0.250 0.250
```

E above lowest polymorph (meV/atom): 309



We obtain VASP energy values of -4.932, -4.176, -3.311, -4.605 eV/atom for the records listed above, in that order.
We obtain spin magnetization values of 0.0, 0.0, 0.0, 0.3 μB per cell for the records listed above, in that order.
We obtain volume values of 32.908, 24.344, 28.505, 31.448 A^3/atom for the records listed above, in that order.